# 1
# MoAs2Ir (GGA-PBE, optimized geometry)
data_MoAs2Ir
_cell_length_a 4.4187
_cell_length_b 4.4187
_cell_length_c 4.4187
_cell_angle_alpha 60.00
_cell_angle_beta 60.00
_cell_angle_gamma 60.00
_symmetry_space_group_name_H-M 'P 1'
_symmetry_Int_Tables_number 1
loop_
_symmetry_equiv_pos_as_xyz
'x,y,z'
loop_
_atom_site_label
_atom_site_fract_x
_atom_site_fract_y
_atom_site_fract_z
_atom_site_occupancy
Mo1 0.0000 0.0000 0.0000 1
As1 0.2500 0.2500 0.2500 1
As2 0.7500 0.7500 0.7500 1
Ir1 0.5000 0.5000 0.5000 1
# E_tot ... -28.84 eV/cell
# Relative energy among the computed polymorphs ... 80 meV per atom
# Density of states at the Fermi level ... 0.346 states/eV per atom
# Space group ... Fm-3m, No. 225
# Total moment ... 0.0 μB/cell
# Formation energy from the elements ... 0.0370 eV per atom

=====

# 2
# TbMg2Hg3 (GGA-PBE, optimized geometry)
data_TbMg2Hg3
_cell_length_a 5.0429
_cell_length_b 5.0429
_cell_length_c 12.4061
_cell_angle_alpha 90.00
_cell_angle_beta 90.00
_cell_angle_gamma 120.00
_symmetry_space_group_name_H-M 'P 1'
_symmetry_Int_Tables_number 1
loop_
_symmetry_equiv_pos_as_xyz
'x,y,z'
loop_
_atom_site_label
_atom_site_fract_x
_atom_site_fract_y
_atom_site_fract_z
_atom_site_occupancy
Tb1 0.3333 0.6667 0.1639 1
Tb2 0.6667 0.3333 0.8361 1
Mg1 0.0000 0.0000 0.0000 1
Mg2 0.0000 0.0000 0.5000 1
Mg3 0.3333 0.6667 0.6629 1
Mg4 0.6667 0.3333 0.3371 1
Hg1 0.0000 0.0000 0.2605 1
Hg2 0.0000 0.0000 0.7395 1
Hg3 0.3333 0.6667 0.4181 1
Hg4 0.3333 0.6667 0.9150 1
Hg5 0.6667 0.3333 0.0850 1
Hg6 0.6667 0.3333 0.5819 1
# E_tot ... -21.91 eV/cell
# Density of states at the Fermi level ... 0.376 states/eV per atom
# Space group ... P-3m1, No. 164
# Total moment ... 0.0 μB/cell
# Formation energy from the elements ... -0.3719 eV per atom

=====

# 3
# KRbGa2 (GGA-PBE, optimized geometry)
data_KRbGa2
_cell_length_a 4.5176
_cell_length_b 7.7698
_cell_length_c 10.0219
_cell_angle_alpha 90.00
_cell_angle_beta 102.91
_cell_angle_gamma 90.00
_symmetry_space_group_name_H-M 'P 1'
_symmetry_Int_Tables_number 1
loop_
_symmetry_equiv_pos_as_xyz
'x,y,z'
loop_
_atom_site_label
_atom_site_fract_x
_atom_site_fract_y
_atom_site_fract_z
_atom_site_occupancy
K1 0.1266 0.2500 0.2518 1
K2 0.8734 0.7500 0.7482 1
Rb1 0.3878 0.2500 0.7766 1
Rb2 0.6122 0.7500 0.2234 1
Ga1 0.2501 0.5838 0.5002 1
Ga2 0.2501 0.9162 0.5002 1
Ga3 0.7499 0.0838 0.4998 1
Ga4 0.7499 0.4162 0.4998 1
# E_tot ... -16.92 eV/cell
# Relative energy among the computed polymorphs ... 0 meV per atom
# Density of states at the Fermi level ... 0.665 states/eV per atom
# Space group ... P2_1/m, No. 11
# Total moment ... 0.0 μB/cell
# Formation energy from the elements ... -0.0852 eV per atom

=====

# 4
# ScIr2Rh (GGA-PBE, optimized geometry)
data_ScIr2Rh
_cell_length_a 8.9623
_cell_length_b 8.9623
_cell_length_c 8.9623
_cell_angle_alpha 18.41
_cell_angle_beta 18.41
_cell_angle_gamma 18.41
_symmetry_space_group_name_H-M 'P 1'
_symmetry_Int_Tables_number 1
loop_
_symmetry_equiv_pos_as_xyz
'x,y,z'
loop_
_atom_site_label
_atom_site_fract_x
_atom_site_fract_y
_atom_site_fract_z
_atom_site_occupancy
Sc1 0.0000 0.0000 0.0000 1
Ir1 0.2495 0.2495 0.2495 1
Ir2 0.7505 0.7505 0.7505 1
Rh1 0.5000 0.5000 0.5000 1
# E_tot ... -31.82 eV/cell
# Density of states at the Fermi level ... 1.416 states/eV per atom
# Space group ... R-3m, No. 166
# Total moment ... 0.0 μB/cell
# Formation energy from the elements ... -0.1050 eV per atom

=====

> Which formula does entry 3 have?

KRbGa2

=====

Please write out number 2 again, unchanged.
# TbMg2Hg3 (GGA-PBE, optimized geometry)
data_TbMg2Hg3
_cell_length_a 5.0429
_cell_length_b 5.0429
_cell_length_c 12.4061
_cell_angle_alpha 90.00
_cell_angle_beta 90.00
_cell_angle_gamma 120.00
_symmetry_space_group_name_H-M 'P 1'
_symmetry_Int_Tables_number 1
loop_
_symmetry_equiv_pos_as_xyz
'x,y,z'
loop_
_atom_site_label
_atom_site_fract_x
_atom_site_fract_y
_atom_site_fract_z
_atom_site_occupancy
Tb1 0.3333 0.6667 0.1639 1
Tb2 0.6667 0.3333 0.8361 1
Mg1 0.0000 0.0000 0.0000 1
Mg2 0.0000 0.0000 0.5000 1
Mg3 0.3333 0.6667 0.6629 1
Mg4 0.6667 0.3333 0.3371 1
Hg1 0.0000 0.0000 0.2605 1
Hg2 0.0000 0.0000 0.7395 1
Hg3 0.3333 0.6667 0.4181 1
Hg4 0.3333 0.6667 0.9150 1
Hg5 0.6667 0.3333 0.0850 1
Hg6 0.6667 0.3333 0.5819 1
# E_tot ... -21.91 eV/cell
# Density of states at the Fermi level ... 0.376 states/eV per atom
# Space group ... P-3m1, No. 164
# Total moment ... 0.0 μB/cell
# Formation energy from the elements ... -0.3719 eV per atom